(1)
# FeTe2Mo (SCAN, PBEsol geometry)
data_FeTe2Mo
_chemical_formula_sum 'Fe1 Te2 Mo1'
_cell_length_a 3.8855
_cell_length_b 3.8855
_cell_length_c 6.7364
_cell_angle_alpha 90.00
_cell_angle_beta 90.00
_cell_angle_gamma 120.00
_space_group_name_H-M_alt 'P 3 m 1'
_space_group_IT_number 156
_space_group_name_Hall 'P 3 -2"'
loop_
_atom_site_label
_atom_site_type_symbol
_atom_site_fract_x
_atom_site_fract_y
_atom_site_fract_z
Fe1 Fe 0.0000 0.0000 0.0000
Te1 Te 0.0000 0.0000 0.3675
Te2 Te 0.3333 0.6667 0.8219
Mo1 Mo 0.6667 0.3333 0.1175
# ΔE_f (raw) = -97 meV/atom

***

(2)
# TiFe2Mo2 (SCAN, PBEsol geometry)
data_TiFe2Mo2
_chemical_formula_sum 'Ti2 Fe4 Mo4'
_cell_length_a 3.862
_cell_length_b 3.862
_cell_length_c 9.790
_cell_angle_alpha 90.00
_cell_angle_beta 90.00
_cell_angle_gamma 90.00
_space_group_name_H-M_alt 'I 4/m m m'
_space_group_IT_number 139
_space_group_name_Hall '-I 4 2'
loop_
_atom_site_label
_atom_site_type_symbol
_atom_site_fract_x
_atom_site_fract_y
_atom_site_fract_z
Ti1 Ti 0.000 0.000 0.000
Fe1 Fe 0.000 0.000 0.395
Mo1 Mo 0.000 0.500 0.250
# Uncorrected energy = -24.04 eV/atom

***

(3)
# TlFe2Mo (SCAN, PBEsol geometry)
data_TlFe2Mo
_chemical_formula_sum 'Tl1 Fe2 Mo1'
_cell_length_a 3.065
_cell_length_b 3.065
_cell_length_c 6.276
_cell_angle_alpha 90.00
_cell_angle_beta 90.00
_cell_angle_gamma 90.00
_space_group_name_H-M_alt 'P 4 m m'
_space_group_IT_number 99
_space_group_name_Hall 'P 4 -2'
loop_
_atom_site_label
_atom_site_type_symbol
_atom_site_fract_x
_atom_site_fract_y
_atom_site_fract_z
Tl1 Tl 0.000 0.000 0.000
Fe1 Fe 0.000 0.000 0.465
Fe2 Fe 0.500 0.500 0.280
Mo1 Mo 0.500 0.500 0.675
# Uncorrected energy = -35.49 eV/atom

***

(4)
# TlFeMo2 (SCAN, PBEsol geometry)
data_TlFeMo2
_chemical_formula_sum 'Tl3 Fe3 Mo6'
_cell_length_a 2.8472
_cell_length_b 2.8472
_cell_length_c 26.9551
_cell_angle_alpha 90.00
_cell_angle_beta 90.00
_cell_angle_gamma 120.00
_space_group_name_H-M_alt 'R -3 m'
_space_group_IT_number 166
_space_group_name_Hall '-R 3 2"'
loop_
_atom_site_label
_atom_site_type_symbol
_atom_site_fract_x
_atom_site_fract_y
_atom_site_fract_z
Tl1 Tl 0.0000 0.0000 0.0000
Fe1 Fe 0.0000 0.0000 0.5000
Mo1 Mo 0.0000 0.0000 0.2398
# Energy above the most stable polymorph in this dataset = 6.48 kcal/mol of atoms

***

(5)
# TlFeMo2 (SCAN, PBEsol geometry)
data_TlFeMo2
_chemical_formula_sum 'Tl4 Fe4 Mo8'
_cell_length_a 6.315
_cell_length_b 6.315
_cell_length_c 6.315
_cell_angle_alpha 90.00
_cell_angle_beta 90.00
_cell_angle_gamma 90.00
_space_group_name_H-M_alt 'F m -3 m'
_space_group_IT_number 225
_space_group_name_Hall '-F 4 2 3'
loop_
_atom_site_label
_atom_site_type_symbol
_atom_site_fract_x
_atom_site_fract_y
_atom_site_fract_z
Tl1 Tl 0.000 0.000 0.000
Fe1 Fe 0.000 0.000 0.500
Mo1 Mo 0.250 0.250 0.250
# Energy above the most stable polymorph in this dataset = 6.23 kcal/mol of atoms

***

(6)
# TlFe2Mo (SCAN, PBEsol geometry)
data_TlFe2Mo
_chemical_formula_sum 'Tl4 Fe8 Mo4'
_cell_length_a 6.047
_cell_length_b 6.047
_cell_length_c 6.047
_cell_angle_alpha 90.00
_cell_angle_beta 90.00
_cell_angle_gamma 90.00
_space_group_name_H-M_alt 'F m -3 m'
_space_group_IT_number 225
_space_group_name_Hall '-F 4 2 3'
loop_
_atom_site_label
_atom_site_type_symbol
_atom_site_fract_x
_atom_site_fract_y
_atom_site_fract_z
Tl1 Tl 0.000 0.000 0.000
Fe1 Fe 0.250 0.250 0.250
Mo1 Mo 0.000 0.000 0.500
# Uncorrected energy = -35.28 eV/atom

***

(7)
# TlFeMo2 (SCAN, PBEsol geometry)
data_TlFeMo2
_chemical_formula_sum 'Tl2 Fe2 Mo4'
_cell_length_a 5.318
_cell_length_b 8.194
_cell_length_c 2.891
_cell_angle_alpha 90.00
_cell_angle_beta 90.00
_cell_angle_gamma 90.00
_space_group_name_H-M_alt 'C m m m'
_space_group_IT_number 65
_space_group_name_Hall '-C 2 2'
loop_
_atom_site_label
_atom_site_type_symbol
_atom_site_fract_x
_atom_site_fract_y
_atom_site_fract_z
Tl1 Tl 0.000 0.000 0.000
Fe1 Fe 0.000 0.500 0.000
Mo1 Mo 0.250 0.250 0.500
# Energy above the most stable polymorph in this dataset = 5.56 kcal/mol of atoms

***

(8)
# TlFeMo2 (SCAN, PBEsol geometry)
data_TlFeMo2
_chemical_formula_sum 'Tl1 Fe1 Mo2'
_cell_length_a 3.258
_cell_length_b 3.258
_cell_length_c 6.032
_cell_angle_alpha 90.00
_cell_angle_beta 90.00
_cell_angle_gamma 90.00
_space_group_name_H-M_alt 'P 4 m m'
_space_group_IT_number 99
_space_group_name_Hall 'P 4 -2'
loop_
_atom_site_label
_atom_site_type_symbol
_atom_site_fract_x
_atom_site_fract_y
_atom_site_fract_z
Tl1 Tl 0.000 0.000 0.000
Fe1 Fe 0.500 0.500 0.266
Mo1 Mo 0.000 0.000 0.482
Mo2 Mo 0.500 0.500 0.694
# Energy above the most stable polymorph in this dataset = 0.00 kcal/mol of atoms

***

no.,N(E_F) (states/eV per cell),spin magnetization (μB per cell)
1,0.6,0.00
2,11.6,0.00
3,2.5,4.55
4,10.4,6.66
5,9.9,7.12
6,12.6,14.32
7,5.4,4.89
8,1.9,2.92